one) Material: Zr2PdPt3
Method: DFT, GGA-PBE
State: relaxed

Computed properties:
- M_tot (μB per atom) = 0.00

The structure in CIF format:
```
data_Zr2PdPt3
_cell_length_a 5.505
_cell_length_b 4.425
_cell_length_c 8.784
_cell_angle_alpha 90.00
_cell_angle_beta 90.00
_cell_angle_gamma 90.00
_space_group_name_H-M_alt 'P m m a'
_space_group_IT_number 51
_space_group_name_Hall '-P 2a 2a'
loop_
_atom_site_label
_atom_site_type_symbol
_atom_site_fract_x
_atom_site_fract_y
_atom_site_fract_z
Zr1 Zr 0.250 0.000 0.193
Zr2 Zr 0.250 0.500 0.696
Pd1 Pd 0.000 0.000 0.500
Pt1 Pt 0.000 0.500 0.000
Pt2 Pt 0.250 0.000 0.877
Pt3 Pt 0.250 0.500 0.380
```

two) Material: Zr2PdPt3
Method: DFT, GGA-PBE
State: relaxed

Computed properties:
- M_tot (μB per atom) = 0.00

The structure in CIF format:
```
data_Zr2PdPt3
_cell_length_a 8.503
_cell_length_b 5.568
_cell_length_c 9.871
_cell_angle_alpha 90.00
_cell_angle_beta 115.51
_cell_angle_gamma 90.00
_space_group_name_H-M_alt 'C 1 2/c 1'
_space_group_IT_number 15
_space_group_name_Hall '-C 2yc'
loop_
_atom_site_label
_atom_site_type_symbol
_atom_site_fract_x
_atom_site_fract_y
_atom_site_fract_z
Zr1 Zr 0.183 0.125 0.116
Pd1 Pd 0.000 0.125 0.750
Pt1 Pt 0.000 0.375 0.250
Pt2 Pt 0.159 0.375 0.567
```

Computed relative energies in units of kJ/mol of atoms: one) 0.0; two) 5.6

one) Material: Zr2PdPt2
Method: DFT, GGA-PBE
State: relaxed

Computed properties:
- M_tot (μB per atom) = 0.00

The structure in CIF format:
```
data_Zr2PdPt2
_cell_length_a 7.447
_cell_length_b 7.447
_cell_length_c 3.397
_cell_angle_alpha 90.00
_cell_angle_beta 90.00
_cell_angle_gamma 90.00
_space_group_name_H-M_alt 'P 4/m b m'
_space_group_IT_number 127
_space_group_name_Hall '-P 4 2ab'
loop_
_atom_site_label
_atom_site_type_symbol
_atom_site_fract_x
_atom_site_fract_y
_atom_site_fract_z
Zr1 Zr 0.169 0.331 0.000
Pd1 Pd 0.000 0.000 0.500
Pt1 Pt 0.133 0.633 0.500
```

two) Material: Zr2PdPt2
Method: DFT, GGA-PBE
State: relaxed

Computed properties:
- M_tot (μB per atom) = 0.00

The structure in CIF format:
```
data_Zr2PdPt2
_cell_length_a 7.708
_cell_length_b 7.708
_cell_length_c 3.252
_cell_angle_alpha 90.00
_cell_angle_beta 90.00
_cell_angle_gamma 90.00
_space_group_name_H-M_alt 'P 4/m b m'
_space_group_IT_number 127
_space_group_name_Hall '-P 4 2ab'
loop_
_atom_site_label
_atom_site_type_symbol
_atom_site_fract_x
_atom_site_fract_y
_atom_site_fract_z
Zr1 Zr 0.163 0.337 0.000
Pd1 Pd 0.000 0.000 0.000
Pt1 Pt 0.134 0.634 0.500
```

Computed relative energies in units of kJ/mol of atoms: one) 0.0; two) 20.4